Record 1
DFT (PBE) results for AcPrDyZn after structural relaxation.

Crystal system: tetragonal

Cell: 3.725 3.725 9.039 Å, 90.00 90.00 90.00°
Sites, in units of the cell vectors:
Ac 0.000 0.000 0.000
Pr 0.500 0.500 0.687
Dy 0.500 0.500 0.297
Zn 0.000 0.000 0.475


Record 2
DFT (PBE) results for AcPrDyZn after structural relaxation.

Crystal system: cubic

Cell: 7.926 7.926 7.926 Å, 90.00 90.00 90.00°
Sites, in units of the cell vectors:
Ac 0.000 0.000 0.000
Ac 0.000 0.500 0.500
Ac 0.500 0.000 0.500
Ac 0.500 0.500 0.000
Pr 0.250 0.250 0.250
Pr 0.250 0.750 0.750
Pr 0.750 0.250 0.750
Pr 0.750 0.750 0.250
Dy 0.250 0.250 0.750
Dy 0.250 0.750 0.250
Dy 0.750 0.250 0.250
Dy 0.750 0.750 0.750
Zn 0.000 0.000 0.500
Zn 0.000 0.500 0.000
Zn 0.500 0.000 0.000
Zn 0.500 0.500 0.500


Record 3
DFT (PBE) results for Ac2Dy3Pt4 after structural relaxation.

Crystal system: monoclinic

Cell: 7.736 7.788 8.103 Å, 90.00 109.36 90.00°
Sites, in units of the cell vectors:
Ac 0.197 0.175 0.084
Ac 0.197 0.325 0.584
Ac 0.803 0.675 0.416
Ac 0.803 0.825 0.916
Dy 0.249 0.662 0.249
Dy 0.249 0.838 0.749
Dy 0.500 0.000 0.500
Dy 0.500 0.500 0.000
Dy 0.751 0.162 0.251
Dy 0.751 0.338 0.751
Pt 0.096 0.543 0.870
Pt 0.096 0.957 0.370
Pt 0.497 0.636 0.625
Pt 0.497 0.864 0.125
Pt 0.503 0.136 0.875
Pt 0.503 0.364 0.375
Pt 0.904 0.043 0.630
Pt 0.904 0.457 0.130


ΔH_f (0 K)? In order: -0.12 0.16 -1.16 eV/atom.